1.
Here is a relaxed structure of PrTh2Sc2 from the Alexandria database. Energies are from PBE.

abc: 14.0594 14.0594 14.0594
angles: 14.36 14.36 14.36
With the nearest neighbours (Å) after each atom.
Positions (direct):
Pr 0.0000 0.0000 0.0000  6 Sc 3.47, 6 Pr 3.51
Th 0.2009 0.2009 0.2009  3 Sc 3.39, 9 Th 3.50-3.51
Th 0.7991 0.7991 0.7991  3 Sc 3.39, 9 Th 3.50-3.51
Sc 0.4008 0.4008 0.4008  3 Th 3.39, 3 Pr 3.47, 6 Sc 3.51
Sc 0.5992 0.5992 0.5992  3 Th 3.39, 3 Pr 3.47, 6 Sc 3.51

Properties
- calculated total energy (eV per cell) = -32.0
- V (Å³ per cell) = 149

2.
Here is a relaxed structure of Pr2ThSc from the Alexandria database. Energies are from PBE.

abc: 12.6115 12.6115 12.6115
angles: 15.82 15.82 15.82
With the nearest neighbours (Å) after each atom.
Positions (direct):
Pr 0.0918 0.0918 0.0918  1 Th 3.43, 3 Sc 3.44, 6 Pr 3.47
Pr 0.9082 0.9082 0.9082  1 Th 3.43, 3 Sc 3.44, 6 Pr 3.47
Th 0.0000 0.0000 0.0000  2 Pr 3.43, 6 Th 3.47
Sc 0.5000 0.5000 0.5000  6 Pr 3.44, 6 Sc 3.47

Properties
- polymorph energy (0 for the lowest one) (meV per atom) = 135
- calculated total energy (eV per cell) = -22.5
- V (Å³ per cell) = 130

3.
Here is a relaxed structure of PrTh2Sc from the Alexandria database. Energies are from PBE.

abc: 12.4331 12.4331 12.4331
angles: 15.93 15.93 15.93
With the nearest neighbours (Å) after each atom.
Positions (direct):
Pr 0.0000 0.0000 0.0000  2 Th 3.34, 6 Pr 3.45
Th 0.0907 0.0907 0.0907  1 Pr 3.34, 3 Sc 3.43, 6 Th 3.45
Th 0.9093 0.9093 0.9093  1 Pr 3.34, 3 Sc 3.43, 6 Th 3.45
Sc 0.5000 0.5000 0.5000  6 Th 3.43, 6 Sc 3.45

Properties
- polymorph energy (0 for the lowest one) (meV per atom) = 143
- calculated total energy (eV per cell) = -25.2
- V (Å³ per cell) = 126

4.
Here is a relaxed structure of PrTh2Sc from the Alexandria database. Energies are from PBE.

abc: 11.7075 11.7075 11.7075
angles: 17.34 17.34 17.34
With the nearest neighbours (Å) after each atom.
Positions (direct):
Pr 0.0000 0.0000 0.0000  6 Pr 3.53, 6 Th 3.60-3.72
Th 0.2434 0.2434 0.2434  3 Sc 3.43, 6 Th 3.53, 3 Pr 3.72
Th 0.4191 0.4191 0.4191  3 Sc 3.38, 6 Th 3.53, 3 Pr 3.60
Sc 0.8303 0.8303 0.8303  6 Th 3.38-3.43, 6 Sc 3.53

Properties
- polymorph energy (0 for the lowest one) (meV per atom) = 22
- calculated total energy (eV per cell) = -25.6
- V (Å³ per cell) = 124

5.
Here is a relaxed structure of PrTh2Sc5 from the Alexandria database. Energies are from PBE.

abc: 8.0777 10.4931 10.9671
angles: 86.66 79.56 77.93
With the nearest neighbours (Å) after each atom.
Positions (direct):
Pr 0.0998 0.2952 0.1743  10 Sc 3.35-3.67, 2 Th 3.38-3.67, 1 Pr 3.64
Pr 0.1027 0.7235 0.0934  9 Sc 3.20-3.55
Pr 0.8973 0.2765 0.9066  9 Sc 3.20-3.55
Pr 0.9002 0.7048 0.8257  10 Sc 3.35-3.67, 2 Th 3.38-3.67, 1 Pr 3.64
Th 0.3409 0.9149 0.5375  5 Th 3.33-3.51, 6 Sc 3.34-3.60
Th 0.3487 0.3382 0.4119  8 Sc 3.28-3.51, 2 Th 3.35-3.60, 1 Pr 3.67
Th 0.3923 0.6865 0.3273  6 Sc 3.18-3.57, 1 Th 3.33
Th 0.4154 0.0462 0.2376  7 Sc 3.32-3.65, 1 Pr 3.38, 3 Th 3.49-3.60
Th 0.5846 0.9538 0.7624  7 Sc 3.32-3.65, 1 Pr 3.38, 3 Th 3.49-3.60
Th 0.6077 0.3135 0.6727  6 Sc 3.18-3.57, 1 Th 3.33
Th 0.6513 0.6618 0.5881  8 Sc 3.28-3.51, 2 Th 3.35-3.60, 1 Pr 3.67
Th 0.6591 0.0851 0.4625  5 Th 3.33-3.51, 6 Sc 3.34-3.60
Sc 0.0213 0.9844 0.2607  6 Sc 3.20-3.47, 2 Pr 3.27-3.50, 2 Th 3.34-3.35
Sc 0.0244 0.5712 0.3669  4 Sc 3.13-3.20, 3 Th 3.28-3.51, 1 Pr 3.33
Sc 0.0308 0.1723 0.4805  5 Sc 3.16-3.37, 3 Th 3.35-3.39, 1 Pr 3.52
Sc 0.2045 0.0245 0.9746  7 Sc 3.23-3.44, 3 Pr 3.38-3.55, 1 Th 3.47
Sc 0.2239 0.4550 0.8752  6 Sc 3.17-3.41, 2 Pr 3.39-3.50
Sc 0.2643 0.1916 0.7021  5 Sc 3.19-3.39, 4 Th 3.25-3.47, 1 Pr 3.37
Sc 0.2674 0.5892 0.6026  4 Sc 3.11-3.30, 3 Th 3.18-3.34
Sc 0.2983 0.7628 0.8142  6 Sc 3.11-3.47, 2 Pr 3.23-3.37, 3 Th 3.32-3.45
Sc 0.4019 0.4766 0.1234  4 Sc 2.95-3.25, 1 Pr 3.20, 1 Th 3.21
Sc 0.4893 0.2147 0.9627  5 Sc 3.17-3.33, 3 Th 3.32-3.48, 2 Pr 3.43-3.53
Sc 0.5107 0.7853 0.0373  5 Sc 3.17-3.33, 3 Th 3.32-3.48, 2 Pr 3.43-3.53
Sc 0.5981 0.5234 0.8766  4 Sc 2.95-3.25, 1 Pr 3.20, 1 Th 3.21
Sc 0.7017 0.2372 0.1858  6 Sc 3.11-3.47, 2 Pr 3.23-3.37, 3 Th 3.32-3.45
Sc 0.7326 0.4108 0.3974  4 Sc 3.11-3.30, 3 Th 3.18-3.34
Sc 0.7357 0.8084 0.2979  5 Sc 3.19-3.39, 4 Th 3.25-3.47, 1 Pr 3.37
Sc 0.7761 0.5450 0.1248  6 Sc 3.17-3.41, 2 Pr 3.39-3.50
Sc 0.7955 0.9755 0.0254  7 Sc 3.23-3.44, 3 Pr 3.38-3.55, 1 Th 3.47
Sc 0.9692 0.8277 0.5195  5 Sc 3.16-3.37, 3 Th 3.35-3.39, 1 Pr 3.52
Sc 0.9756 0.4288 0.6331  4 Sc 3.13-3.20, 3 Th 3.28-3.51, 1 Pr 3.33
Sc 0.9787 0.0156 0.7393  6 Sc 3.20-3.47, 2 Pr 3.27-3.50, 2 Th 3.34-3.35

Properties
- polymorph energy (0 for the lowest one) (meV per atom) = 0
- calculated total energy (eV per cell) = -202.4
- V (Å³ per cell) = 894

6.
Here is a relaxed structure of PrTh2Sc from the Alexandria database. Energies are from PBE.

abc: 5.6047 5.6047 5.6047
angles: 60.00 60.00 60.00
With the nearest neighbours (Å) after each atom.
Positions (direct):
Pr 0.0000 0.0000 0.0000  8 Th 3.43
Th 0.2500 0.2500 0.2500  4 Sc 3.43, 4 Pr 3.43
Th 0.7500 0.7500 0.7500  4 Sc 3.43, 4 Pr 3.43
Sc 0.5000 0.5000 0.5000  8 Th 3.43

Properties
- polymorph energy (0 for the lowest one) (meV per atom) = 124
- calculated total energy (eV per cell) = -25.2
- V (Å³ per cell) = 124

7.
Here is a relaxed structure of PrTh2Sc from the Alexandria database. Energies are from PBE.

abc: 3.5456 3.5456 9.9169
angles: 90.00 90.00 90.00
With the nearest neighbours (Å) after each atom.
Positions (direct):
Pr 0.0000 0.0000 0.0000  4 Pr 3.55, 8 Th 3.65
Th 0.5000 0.5000 0.2669  4 Sc 3.41, 4 Th 3.55, 4 Pr 3.65
Th 0.5000 0.5000 0.7331  4 Sc 3.41, 4 Th 3.55, 4 Pr 3.65
Sc 0.0000 0.0000 0.5000  8 Th 3.41, 4 Sc 3.55

Properties
- polymorph energy (0 for the lowest one) (meV per atom) = 24
- calculated total energy (eV per cell) = -25.6
- V (Å³ per cell) = 125

8.
Here is a relaxed structure of Pr2ThSc from the Alexandria database. Energies are from PBE.

abc: 5.0152 5.0152 5.0828
angles: 90.00 90.00 90.00
With the nearest neighbours (Å) after each atom.
Positions (direct):
Pr 0.0000 0.5000 0.0000  4 Pr 3.55, 4 Sc 3.57, 4 Th 3.57
Pr 0.5000 0.0000 0.0000  4 Pr 3.55, 4 Sc 3.57, 4 Th 3.57
Th 0.0000 0.0000 0.5000  4 Sc 3.55, 8 Pr 3.57
Sc 0.5000 0.5000 0.5000  4 Th 3.55, 8 Pr 3.57

Properties
- polymorph energy (0 for the lowest one) (meV per atom) = 0
- calculated total energy (eV per cell) = -23.0
- V (Å³ per cell) = 128

9.
Here is a relaxed structure of PrTh6Sc2 from the Alexandria database. Energies are from PBE.

abc: 3.4964 3.4964 26.5647
angles: 90.00 90.00 120.00
With the nearest neighbours (Å) after each atom.
Positions (direct):
Pr 0.0000 0.0000 0.0000  6 Pr 3.50, 6 Th 3.71
Th 0.0000 0.0000 0.2280  3 Sc 3.45, 9 Th 3.50-3.57
Th 0.0000 0.0000 0.4371  7 Th 3.34-3.50, 3 Sc 3.42
Th 0.0000 0.0000 0.5629  7 Th 3.34-3.50, 3 Sc 3.42
Th 0.0000 0.0000 0.7720  3 Sc 3.45, 9 Th 3.50-3.57
Th 0.6667 0.3333 0.1173  9 Th 3.50-3.57, 3 Pr 3.71
Th 0.6667 0.3333 0.8827  9 Th 3.50-3.57, 3 Pr 3.71
Sc 0.6667 0.3333 0.3332  6 Th 3.42-3.45, 6 Sc 3.50
Sc 0.6667 0.3333 0.6668  6 Th 3.42-3.45, 6 Sc 3.50

Properties
- calculated total energy (eV per cell) = -61.0
- V (Å³ per cell) = 281

10.
Here is a relaxed structure of PrTh2Sc from the Alexandria database. Energies are from PBE.

abc: 4.9720 4.9720 5.0461
angles: 90.00 90.00 90.00
With the nearest neighbours (Å) after each atom.
Positions (direct):
Pr 0.0000 0.0000 0.0000  4 Sc 3.52, 8 Th 3.54
Th 0.0000 0.5000 0.5000  4 Th 3.52, 4 Pr 3.54, 4 Sc 3.54
Th 0.5000 0.0000 0.5000  4 Th 3.52, 4 Pr 3.54, 4 Sc 3.54
Sc 0.5000 0.5000 0.0000  4 Pr 3.52, 8 Th 3.54

Properties
- polymorph energy (0 for the lowest one) (meV per atom) = 32
- calculated total energy (eV per cell) = -25.6
- V (Å³ per cell) = 125

11.
Here is a relaxed structure of PrTh2Sc from the Alexandria database. Energies are from PBE.

abc: 3.5793 3.5793 19.5626
angles: 90.00 90.01 90.00
With the nearest neighbours (Å) after each atom.
Positions (direct):
Pr 0.2493 0.2500 0.0757  4 Th 3.56, 8 Pr 3.58-3.90
Pr 0.7507 0.7500 0.9243  4 Th 3.56, 8 Pr 3.58-3.90
Th 0.2502 0.2500 0.5624  4 Sc 3.44, 8 Th 3.52-3.58
Th 0.2509 0.2500 0.7964  4 Sc 3.39, 4 Pr 3.56, 4 Th 3.58
Th 0.7491 0.7500 0.2036  4 Sc 3.39, 4 Pr 3.56, 4 Th 3.58
Th 0.7498 0.7500 0.4376  4 Sc 3.44, 8 Th 3.52-3.58
Sc 0.2494 0.2500 0.3186  8 Th 3.39-3.44, 4 Sc 3.58
Sc 0.7506 0.7500 0.6814  8 Th 3.39-3.44, 4 Sc 3.58

Properties
- polymorph energy (0 for the lowest one) (meV per atom) = 0
- calculated total energy (eV per cell) = -51.5
- V (Å³ per cell) = 251

12.
Here is a relaxed structure of PrThScTi from the Alexandria database. Energies are from PBE.

abc: 5.3337 5.3337 5.3337
angles: 60.00 60.00 60.00
With the nearest neighbours (Å) after each atom.
Positions (direct):
Pr 0.0000 0.0000 0.0000  4 Ti 3.27, 4 Sc 3.27
Th 0.5000 0.5000 0.5000  4 Ti 3.27, 4 Sc 3.27
Sc 0.2500 0.2500 0.2500  4 Th 3.27, 4 Pr 3.27
Ti 0.7500 0.7500 0.7500  4 Th 3.27, 4 Pr 3.27

Properties
- calculated total energy (eV per cell) = -25.7
- V (Å³ per cell) = 107

Formation energy for the records above, in order: 49, 212, 197, 76, 84, 179, 79, 77, 103, 86, 54, 187 meV/atom